Compound: TbSmS2
Source: OQMD via LeMat-Bulk
Functional: PBE
Structure: relaxed

The structure in extended XYZ format:
```
4
Lattice="3.425 -1.985 0.000 3.425 1.985 0.000 -2.298 0.000 6.474" Properties=species:S:1:pos:R:3 pbc="T T T"
Tb 0.000 0.000 0.000
Sm 2.277 0.000 3.237
S -0.011 0.000 4.907
S 4.564 0.000 1.567
```

Offset from the most stable computed form in meV/atom: 0

***

Compound: Pm4Pb3
Source: OQMD via LeMat-Bulk
Functional: PBE
Structure: relaxed

The structure in extended XYZ format:
```
14
Lattice="-4.816 4.816 4.816 4.816 -4.816 4.816 4.816 4.816 -4.816" Properties=species:S:1:pos:R:3 pbc="T T T"
Pm 3.075 1.741 -1.741
Pm 5.483 -0.667 0.667
Pm 1.741 -1.741 3.075
Pm 1.741 1.741 1.741
Pm -1.741 3.075 1.741
Pm 0.667 5.483 -0.667
Pm -0.667 0.667 5.483
Pm 4.149 4.149 4.149
Pb 4.816 -2.408 3.612
Pb 3.612 4.816 -2.408
Pb 4.816 2.408 1.204
Pb 2.408 1.204 4.816
Pb 1.204 4.816 2.408
Pb -2.408 3.612 4.816
```

Calculated total energy in eV/atom: -4.88

***

Compound: Sc2AlIr3
Source: OQMD via LeMat-Bulk
Functional: PBE
Structure: relaxed

The structure in extended XYZ format:
```
12
Lattice="5.435 0.000 0.000 -2.717 4.706 0.000 0.000 0.000 7.763" Properties=species:S:1:pos:R:3 pbc="T T T"
Sc 0.000 3.138 0.469
Sc 0.000 3.138 3.413
Sc 2.717 1.569 4.351
Sc 2.717 1.569 7.294
Al 0.000 0.000 0.000
Al 0.000 0.000 3.882
Ir 0.000 1.610 5.822
Ir -1.323 3.902 5.822
Ir 1.394 0.805 1.941
Ir 1.323 3.902 5.822
Ir 4.041 0.805 1.941
Ir 2.717 3.097 1.941
```

Calculated total energy in eV/atom: -8.11

***

Compound: CsTmBi
Source: OQMD via LeMat-Bulk
Functional: PBE
Structure: relaxed

The structure in extended XYZ format:
```
3
Lattice="0.000 3.888 3.888 3.888 0.000 3.888 3.888 3.888 0.000" Properties=species:S:1:pos:R:3 pbc="T T T"
Cs 0.000 0.000 0.000
Tm 5.832 5.832 5.832
Bi 3.888 3.888 3.888
```

Calculated total energy in eV/atom: -2.96

***

Compound: PrSmAuS3
Source: OQMD via LeMat-Bulk
Functional: PBE
Structure: relaxed

The structure in extended XYZ format:
```
12
Lattice="1.942 -6.677 0.000 1.942 6.677 0.000 0.000 0.000 10.559" Properties=species:S:1:pos:R:3 pbc="T T T"
Pr 0.000 0.000 0.000
Pr 0.000 0.000 5.279
Sm 1.942 3.602 7.919
Sm 1.942 -3.602 2.640
Au 1.942 0.314 2.640
Au 1.942 -0.314 7.919
S 1.942 5.236 2.640
S 1.942 2.045 0.774
S 1.942 2.045 4.505
S 1.942 -2.045 6.054
S 1.942 -2.045 9.785
S 1.942 -5.236 7.919
```

Calculated total energy in eV/atom: -5.61

***

Compound: BeNiAsPd
Source: OQMD via LeMat-Bulk
Functional: PBE
Structure: relaxed

The structure in extended XYZ format:
```
4
Lattice="0.000 2.936 2.936 2.936 0.000 2.936 2.936 2.936 0.000" Properties=species:S:1:pos:R:3 pbc="T T T"
Be 0.000 0.000 0.000
Ni 4.404 4.404 4.404
As 2.936 2.936 2.936
Pd 1.468 1.468 1.468
```

Offset from the most stable computed form in meV/atom: 0

***

Compound: Ho2TmAl3Cu2Pd
Source: OQMD via LeMat-Bulk
Functional: PBE
Structure: relaxed

The structure in extended XYZ format:
```
9
Lattice="4.068 0.000 0.000 0.000 6.058 3.495 0.000 -6.058 3.495" Properties=species:S:1:pos:R:3 pbc="T T T"
Ho 0.000 -3.526 3.495
Ho 0.000 3.526 3.495
Tm 0.000 0.000 2.607
Al 2.034 0.000 0.215
Al 2.034 -1.453 4.684
Al 2.034 1.453 4.684
Cu 2.034 -2.002 2.035
Cu 2.034 2.002 2.035
Pd 0.000 0.000 5.512
```

Calculated total energy in eV/atom: -4.75

***

Compound: SrSmAuSeS2
Source: OQMD via LeMat-Bulk
Functional: PBE
Structure: relaxed

The structure in extended XYZ format:
```
12
Lattice="2.041 -6.883 0.000 2.041 6.883 0.000 0.000 0.000 10.754" Properties=species:S:1:pos:R:3 pbc="T T T"
Sr 2.041 3.693 8.066
Sr 2.041 -3.693 2.689
Sm 0.000 0.000 0.000
Sm 0.000 0.000 5.377
Au 2.041 0.382 2.689
Au 2.041 -0.382 8.066
Se 2.041 5.524 2.689
Se 2.041 -5.524 8.066
S 2.041 1.877 0.687
S 2.041 1.877 4.691
S 2.041 -1.877 6.064
S 2.041 -1.877 10.068
```

Calculated total energy in eV/atom: -5.08

***

Compound: AlZnFeW
Source: OQMD via LeMat-Bulk
Functional: PBE
Structure: relaxed

The structure in extended XYZ format:
```
4
Lattice="0.000 3.041 3.041 3.041 0.000 3.041 3.041 3.041 0.000" Properties=species:S:1:pos:R:3 pbc="T T T"
Al 0.000 0.000 0.000
Zn 3.041 3.041 3.041
Fe 1.521 1.521 1.521
W 4.562 4.562 4.562
```

Offset from the most stable computed form in meV/atom: 206

***

Compound: TlCuTe3Mo
Source: OQMD via LeMat-Bulk
Functional: PBE
Structure: relaxed

The structure in extended XYZ format:
```
12
Lattice="1.998 -7.800 0.000 1.998 7.800 0.000 0.000 0.000 10.459" Properties=species:S:1:pos:R:3 pbc="T T T"
Tl 1.998 4.008 7.844
Tl 1.998 -4.008 2.615
Cu 1.998 0.541 2.615
Cu 1.998 -0.541 7.844
Te 1.998 6.670 2.615
Te 1.998 1.937 0.463
Te 1.998 1.937 4.766
Te 1.998 -1.937 5.692
Te 1.998 -1.937 9.996
Te 1.998 -6.670 7.844
Mo 0.000 0.000 0.000
Mo 0.000 0.000 5.229
```

Calculated total energy in eV/atom: -4.44

***

Compound: Pr2CoCuGe4
Source: OQMD via LeMat-Bulk
Functional: PBE
Structure: relaxed

The structure in extended XYZ format:
```
8
Lattice="4.270 0.000 0.000 0.000 2.138 8.468 0.000 -2.138 8.468" Properties=species:S:1:pos:R:3 pbc="T T T"
Pr 0.000 0.000 0.000
Pr 2.135 0.000 3.664
Co 2.135 0.000 7.145
Cu 0.000 0.000 13.238
Ge 0.000 0.000 6.101
Ge 0.000 0.000 10.878
Ge 2.135 0.000 9.463
Ge 2.135 0.000 14.551
```

Calculated total energy in eV/atom: -5.49

***

| no. | ρ (g/cm3) | V (Å³/cell) |
| --- | --- | --- |
| 1 | 7.04 | 88 |
| 2 | 8.93 | 447 |
| 3 | 11.60 | 199 |
| 4 | 7.22 | 118 |
| 5 | 7.09 | 274 |
| 6 | 8.17 | 51 |
| 7 | 7.84 | 172 |
| 8 | 6.35 | 302 |
| 9 | 9.80 | 56 |
| 10 | 7.61 | 326 |
| 11 | 7.46 | 155 |